A | KCuTc2: optimized geometry, PBE.

Cell: 5.845 5.845 5.845 Å, 142.96 142.96 53.39°
Fractional coordinates of all 4 atoms:
K1 0.750 0.250 0.500
Tc1 0.500 0.500 0.000
Tc2 0.000 0.000 0.000
Cu1 0.250 0.750 0.500

Computed properties:
Fermi-level density of states ... 0.95 states/eV per atom
Mass density ... 6.887 Mg/m³

***

B | KCuTc2: optimized geometry, PBE.

Cell: 5.832 5.832 2.514 Å, 90.00 90.00 125.72°
Fractional coordinates of all 4 atoms:
Tc1 0.000 0.000 0.000
Tc2 0.500 0.500 0.000
K1 0.000 0.500 0.500
Cu1 0.500 0.000 0.500

Computed properties:
Fermi-level density of states ... 1.09 states/eV per atom
Mass density ... 7.144 Mg/m³

***

Quick look at relative energies in meV per atom: A 210; B 0.

***

A | Co2TcCl: optimized geometry, PBE.

Cell: 2.876 2.876 6.524 Å, 90.00 90.00 90.00°
Fractional coordinates of all 4 atoms:
Co1 0.500 0.500 0.247
Co2 0.000 0.000 0.036
Tc1 0.000 0.000 0.470
Cl1 0.500 0.500 0.748

Computed properties:
Fermi-level density of states ... 1.66 states/eV per atom
Mass density ... 7.736 Mg/m³

***

B | Co2TcCl: optimized geometry, PBE.

Cell: 4.123 4.123 6.337 Å, 88.03 88.03 39.30°
Fractional coordinates of all 4 atoms:
Co1 0.084 0.084 0.910
Co2 0.805 0.805 0.739
Tc1 0.537 0.537 0.585
Cl1 0.074 0.074 0.266

Computed properties:
Fermi-level density of states ... 1.29 states/eV per atom
Mass density ... 6.120 Mg/m³

***

Quick look at relative energies in meV per atom: A 31; B 0.